RbMoIN2: PBEsol geometry, SCAN.

Cell lengths 5.0216, 5.0216, 7.2429 Å; angles 90.00, 90.00, 90.00 degrees
Fractional positions:
Rb (0.0000, 0.0000, 0.0000)
Mo (0.5000, 0.5000, 0.5000)
I (0.0000, 0.0000, 0.5000)
N (0.0000, 0.5000, 0.0000)
N (0.5000, 0.0000, 0.0000)

## Properties
Formation energy (no corrections)   2316 meV per atom
Total magnetization   10.31 μB/f.u.
DOS(E_F)   2.749 states/eV/f.u.
Total DFT energy (no corrections)   -99.4 eV per cell